VASP calculation (GGA-PBE) on crystalline Sr2UCdS5 at its relaxed geometry.

The value obtained for the energy relative to the elements, uncorrected is -1.53 eV per atom. As for the total magnetization: 2.00 μB/f.u.

The space group is Cmc2_1 (No. 36) and the conventional cell measures 4.101, 17.339 and 12.771 Å, with angles of 90.00, 90.00 and 90.00 degrees. The inequivalent atoms are Sr at (0.000, 0.102, 0.000), Sr at (0.000, 0.128, 0.630), U at (0.000, 0.213, 0.339), Cd at (0.000, 0.458, 0.774), S at (0.000, 0.061, 0.386), S at (0.000, 0.280, 0.980), S at (0.000, 0.302, 0.699), S at (0.000, 0.366, 0.322) and S at (0.000, 0.496, 0.092).